Record 1
A plane-wave DFT calculation with PBE was carried out for crystalline Mn2SbW2 at its relaxed geometry.

Structure (POSCAR):
```
Mn2SbW2
1.0
-2.0290 2.0290 5.0559
2.0290 -2.0290 5.0559
2.0290 2.0290 -5.0559
Mn Sb W
2 1 2
Direct
0.1150 0.1150 0.0000
0.8850 0.8850 0.0000
0.5000 0.5000 0.0000
0.2500 0.7500 0.5000
0.7500 0.2500 0.5000
```

As for the total energy: -9.20 eV/atom. The calculation puts the total magnetization at 0.00 μB/f.u. As for the uncorrected formation energy: 0.476 eV per atom.

Record 2
A plane-wave DFT calculation with PBE was carried out for crystalline Na2TaAuF6 at its relaxed geometry.

Structure (POSCAR):
```
Na2TaAuF6
1.0
0.0000 4.9667 4.9667
4.9667 0.0000 4.9667
4.9667 4.9667 0.0000
Na Ta Au F
2 1 1 6
Direct
0.2500 0.2500 0.2500
0.7500 0.7500 0.7500
0.0000 0.0000 0.0000
0.5000 0.5000 0.5000
0.1937 0.1937 0.8063
0.1937 0.8063 0.1937
0.1937 0.8063 0.8063
0.8063 0.1937 0.1937
0.8063 0.1937 0.8063
0.8063 0.8063 0.1937
```

As for the total energy: -5.16 eV/atom. The calculation puts the total magnetization at 0.00 μB/f.u. As for the uncorrected formation energy: -2.259 eV per atom.

Record 3
A plane-wave DFT calculation with PBE was carried out for crystalline SnPNF2 at its relaxed geometry.

Structure (POSCAR):
```
SnPNF2
1.0
4.6043 0.0000 0.0000
0.0000 4.6043 0.0000
0.0000 0.0000 3.4062
Sn P N F
1 1 1 2
Direct
0.0000 0.0000 0.0000
0.5000 0.5000 0.5000
0.5000 0.5000 0.0000
0.0000 0.5000 0.5000
0.5000 0.0000 0.5000
```

As for the total energy: -4.86 eV/atom. The calculation puts the total magnetization at 0.00 μB/f.u. As for the uncorrected formation energy: -0.568 eV per atom.

Record 4
A plane-wave DFT calculation with PBE was carried out for crystalline La2CeRh at its relaxed geometry.

Structure (POSCAR):
```
La2CeRh
1.0
7.2223 0.0000 0.0000
0.0000 10.1274 0.0000
0.0000 0.0000 6.5562
La Ce Rh
8 4 4
Direct
0.1742 0.0657 0.1655
0.1742 0.4343 0.1655
0.3258 0.5657 0.6655
0.3258 0.9343 0.6655
0.6742 0.0657 0.3345
0.6742 0.4343 0.3345
0.8258 0.5657 0.8345
0.8258 0.9343 0.8345
0.0381 0.2500 0.6650
0.4619 0.7500 0.1650
0.5381 0.2500 0.8350
0.9619 0.7500 0.3350
0.1377 0.7500 0.9648
0.3623 0.2500 0.4648
0.6377 0.7500 0.5352
0.8623 0.2500 0.0352
```

As for the total energy: -6.19 eV/atom. The calculation puts the formation energy from the elements at -0.401 eV per atom. The calculation puts the total magnetization at 0.84 μB/f.u.

Record 5
A plane-wave DFT calculation with PBE was carried out for crystalline Ba8Ag2Pt3 at its relaxed geometry.

Structure (POSCAR):
```
Ba8Ag2Pt3
1.0
7.6916 -4.6728 0.0000
7.6916 4.6728 0.0000
-0.0159 0.0000 8.0360
Ba Ag Pt
8 2 3
Direct
0.1111 0.1111 0.3316
0.1257 0.6446 0.1712
0.3554 0.8743 0.8288
0.3837 0.3837 0.6478
0.6163 0.6163 0.3522
0.6446 0.1257 0.1712
0.8743 0.3554 0.8288
0.8889 0.8889 0.6684
0.2556 0.2556 0.0000
0.7444 0.7444 0.0000
0.0000 0.0000 0.0000
0.2533 0.7467 0.5000
0.7467 0.2533 0.5000
```

As for the total energy: -3.50 eV/atom. The calculation puts the formation energy from the elements at -0.487 eV per atom. The calculation puts the total magnetization at 0.00 μB/f.u.

Record 6
A plane-wave DFT calculation with PBE was carried out for crystalline PmHoCO at its relaxed geometry.

Structure (POSCAR):
```
PmHoCO
1.0
1.7920 1.0346 5.8291
-1.7920 1.0346 5.8291
0.0000 -2.0693 5.8291
Pm Ho C O
1 1 1 1
Direct
0.0000 0.0000 0.0000
0.4950 0.4950 0.4950
0.7487 0.7487 0.7487
0.2404 0.2404 0.2404
```

As for the total energy: -7.50 eV/atom. The calculation puts the total magnetization at 0.00 μB/f.u. As for the uncorrected formation energy: -1.622 eV per atom.

Record 7
A plane-wave DFT calculation with PBE was carried out for crystalline Pm2Pu2Ir3 at its relaxed geometry.

Structure (POSCAR):
```
Pm2Pu2Ir3
1.0
5.3349 -2.2068 0.0000
5.3349 2.2068 0.0000
-1.3187 0.0000 7.6283
Pm Pu Ir
2 2 3
Direct
0.1308 0.1308 0.3580
0.8692 0.8692 0.6420
0.3605 0.3605 0.0764
0.6395 0.6395 0.9236
0.0000 0.0000 0.0000
0.1906 0.1906 0.7362
0.8094 0.8094 0.2638
```

As for the total energy: -9.68 eV/atom. The calculation puts the formation energy from the elements at -0.431 eV per atom. The calculation puts the total magnetization at 10.22 μB/f.u.

Record 8
A plane-wave DFT calculation with PBE was carried out for crystalline PmPdPb2 at its relaxed geometry.

Structure (POSCAR):
```
PmPdPb2
1.0
2.3422 1.3523 5.4227
-2.3422 1.3523 5.4227
0.0000 -2.7046 5.4227
Pm Pd Pb
1 1 2
Direct
0.0000 0.0000 0.0000
0.5000 0.5000 0.5000
0.2284 0.2284 0.2284
0.7716 0.7716 0.7716
```

As for the total energy: -4.76 eV/atom. The calculation puts the formation energy from the elements at -0.419 eV per atom. The calculation puts the total magnetization at 0.00 μB/f.u.

Record 9
A plane-wave DFT calculation with PBE was carried out for crystalline CaIrOs2 at its relaxed geometry.

Structure (POSCAR):
```
CaIrOs2
1.0
5.1923 -1.3868 0.0000
5.1923 1.3868 0.0000
-2.2574 0.0000 4.5001
Ca Ir Os
1 1 2
Direct
0.0000 0.0000 0.0000
0.7604 0.7604 0.0953
0.2247 0.2247 0.5909
0.4871 0.4871 0.5047
```

As for the total energy: -8.00 eV/atom. The calculation puts the formation energy from the elements at 0.326 eV per atom. The calculation puts the total magnetization at 0.00 μB/f.u.

Record 10
A plane-wave DFT calculation with PBE was carried out for crystalline ZrHgBr at its relaxed geometry.

Structure (POSCAR):
```
ZrHgBr
1.0
0.0000 2.9294 7.8972
1.7369 0.0000 7.8972
1.7369 2.9294 0.0000
Zr Hg Br
1 1 1
Direct
0.0000 0.0000 0.0000
0.6506 0.6506 0.3494
0.3665 0.3665 0.6335
```

As for the total energy: -3.80 eV/atom. The calculation puts the total magnetization at 0.01 μB/f.u. As for the uncorrected formation energy: -0.295 eV per atom.